No. 1
Density functional theory data (PBE-GGA) for crystalline MgTcIr at its relaxed geometry.

Output
space-group type: Pm, No. 6
ΔE to the lowest computed polymorph: 138.6 meV per atom
energy of formation from the pure elements: -17 kJ/mol of formula units

abc: 2.7968 4.9187 6.9352
angles: 76.84 90.00 89.99
Sites, in units of the cell vectors:
Mg  0.7693  0.5592  0.8998
Mg  0.2692  0.0645  0.8964
Ir  0.2696  0.2710  0.2400
Ir  0.2697  0.5078  0.5580
Tc  0.7697  0.9986  0.5464
Tc  0.7697  0.7812  0.2507


No. 2
Density functional theory data (PBE-GGA) for crystalline NaGaBi at its relaxed geometry.

Output
space-group type: Pnma, No. 62
ΔE to the lowest computed polymorph: 0.0 meV per atom
energy of formation from the pure elements: -50 kJ/mol of formula units

abc: 5.0998 8.7178 7.4688
angles: 90.00 90.00 90.00
Sites, in units of the cell vectors:
Na  0.7500  0.7865  0.9920
Na  0.2500  0.2135  0.0080
Na  0.2500  0.2865  0.5080
Na  0.7500  0.7135  0.4920
Bi  0.7500  0.0922  0.7462
Bi  0.7500  0.4078  0.2462
Bi  0.2500  0.5922  0.7538
Bi  0.2500  0.9078  0.2538
Ga  0.7500  0.0719  0.3483
Ga  0.2500  0.5719  0.1517
Ga  0.2500  0.9281  0.6517
Ga  0.7500  0.4281  0.8483


No. 3
Density functional theory data (PBE-GGA) for crystalline CsLuS2 at its relaxed geometry.

Output
space-group type: R-3m, No. 166
ΔE to the lowest computed polymorph: 2.6 meV per atom
formation energy (no corrections): -1.815 eV/atom

abc: 8.3662 8.3662 8.3662
angles: 27.84 27.84 27.84
Sites, in units of the cell vectors:
S  0.2261  0.2261  0.2261
S  0.7739  0.7739  0.7739
Cs  0.0000  0.0000  0.0000
Lu  0.5000  0.5000  0.5000


No. 4
Density functional theory data (PBE-GGA) for crystalline La5TaN6 at its relaxed geometry.

Output
space-group type: C2/m, No. 12
formation energy (no corrections): -1.303 eV/atom

abc: 6.2012 6.2583 6.2708
angles: 60.07 80.50 70.69
Sites, in units of the cell vectors:
La  0.0000  0.6674  0.6652
La  0.5000  0.1628  0.6745
La  0.0000  0.3326  0.3348
La  0.5000  0.5000  0.0000
La  0.5000  0.8372  0.3255
N  0.7825  0.0739  0.2851
N  0.2175  0.9261  0.7149
N  0.7711  0.7857  0.0000
N  0.7825  0.3590  0.7149
N  0.2175  0.6410  0.2851
N  0.2289  0.2143  0.0000
Ta  0.0000  0.0000  0.0000


No. 5
Density functional theory data (PBE-GGA) for crystalline La4TaCo at its relaxed geometry.

Output
space-group type: F-43m, No. 216
energy of formation from the pure elements: 638 kJ/mol of formula units

abc: 6.2432 6.2432 6.2432
angles: 60.00 60.00 60.00
Sites, in units of the cell vectors:
La  0.3749  0.8753  0.3749
La  0.3749  0.3749  0.3749
La  0.8753  0.3749  0.3749
La  0.3749  0.3749  0.8753
Co  0.0000  0.0000  0.0000
Ta  0.7500  0.7500  0.7500


No. 6
Density functional theory data (PBE-GGA) for crystalline MgNiSb2 at its relaxed geometry.

Output
space-group type: P2/m, No. 10
formation energy (no corrections): -0.097 eV/atom

abc: 4.0126 5.5890 5.5814
angles: 52.45 90.00 90.00
Sites, in units of the cell vectors:
Mg  0.5000  0.2500  0.2500
Sb  0.0000  0.9044  0.9038
Sb  0.0000  0.5956  0.5962
Ni  0.5000  0.7500  0.7500


Summary of M_tot in μB per cell
0.00, 0.00, 0.00, 0.00, 3.35, 0.00
(order as listed above)